1.
A relaxed structure of ReCl3. Source: Alexandria, functional PBE.

Cell: 2.8799 5.7660 10.3906 Å, 90.00 90.00 90.00°
Last column: nearest neighbours and their distance in Å.
Space group Cmmm (No. 65)
Symmetry-distinct sites (fractional):
Re: 0.0000 0.0000 0.0000  4 Cl 2.38
Cl: 0.0000 0.0000 0.5000  6 Cl 2.88-3.22
Cl: 0.0000 0.5000 0.1821  2 Re 2.38

Computed properties:
The calculation puts the distance to the lowest polymorph of the same formula at 937 meV/atom. The formation energy without anion corrections comes out at 264 meV/atom.

2.
A relaxed structure of Gd2MnAu. Source: Alexandria, functional PBE.

Cell: 3.6258 3.6258 7.1940 Å, 90.00 90.00 90.00°
Last column: nearest neighbours and their distance in Å.
Space group P4/mmm (No. 123)
Symmetry-distinct sites (fractional):
Gd: 0.0000 0.0000 0.2475  4 Mn 3.12, 4 Au 3.14
Mn: 0.5000 0.5000 0.0000  8 Gd 3.12
Au: 0.5000 0.5000 0.5000  8 Gd 3.14

Computed properties:
The calculation puts the distance to the lowest polymorph of the same formula at 0 meV/atom. Its formation energy from the elements is -0.2651 eV per atom.

3.
A relaxed structure of ScHg2Pd3. Source: Alexandria, functional PBE.

Cell: 4.8352 14.6092 6.1144 Å, 90.00 90.00 90.00°
Last column: nearest neighbours and their distance in Å.
Space group Cmmm (No. 65)
Symmetry-distinct sites (fractional):
Sc: 0.0000 0.1609 0.0000  8 Pd 2.81-2.83, 2 Hg 3.06
Hg: 0.0000 0.1661 0.5000  8 Pd 2.83-2.90, 2 Sc 3.06
Hg: 0.0000 0.5000 0.0000  8 Pd 2.87-2.93, 2 Hg 3.06
Hg: 0.0000 0.5000 0.5000  8 Pd 2.85-3.01, 2 Hg 3.06
Pd: 0.0000 0.0000 0.2527  2 Sc 2.81, 6 Hg 2.85-2.87, 2 Pd 3.02-3.09
Pd: 0.0000 0.3256 0.2381  3 Sc 2.81-2.83, 5 Hg 2.83-3.01, 1 Pd 2.91

Computed properties:
Its formation energy from the elements is -0.4852 eV per atom.